No. 1
Here is crystalline FeHg at its relaxed geometry from Alexandria. Energies are from GGA-PBE.

- N(E_F): 7.60 states/eV/cell
- Energy relative to the elements: 0.72 eV per atom

a = 8.062 Å, b = 8.062 Å, c = 8.062 Å
α = 90.00°, β = 90.00°, γ = 90.00°
Atoms (fractional coordinates):
Hg: 0.291 0.291 0.291
Fe: 0.897 0.103 0.897
Fe: 0.397 0.397 0.603
Fe: 0.603 0.603 0.603
Fe: 0.603 0.397 0.397
Fe: 0.103 0.897 0.897
Hg: 0.791 0.791 0.791
Fe: 0.103 0.103 0.103
Hg: 0.709 0.709 0.291
Hg: 0.291 0.709 0.709
Hg: 0.709 0.291 0.709
Fe: 0.897 0.897 0.103
Hg: 0.209 0.791 0.209
Fe: 0.397 0.603 0.397
Hg: 0.209 0.209 0.791
Hg: 0.791 0.209 0.209

***

No. 2
Here is crystalline KSi2Se4 at its relaxed geometry from Alexandria. Energies are from GGA-PBE.

- Energy relative to the elements, uncorrected: -3.850 eV/f.u.
- N(E_F): 3.47 states/eV/cell
- Excess energy over the best structure of this formula in the dataset: 0.000 eV per atom

a = 6.654 Å, b = 6.654 Å, c = 6.654 Å
α = 101.79°, β = 101.79°, γ = 126.24°
Atoms (fractional coordinates):
Se: 0.866 0.328 0.193
K: 0.500 0.500 0.000
Se: 0.672 0.866 0.538
Si: 0.750 0.250 0.500
Si: 0.250 0.750 0.500
Se: 0.328 0.134 0.462
Se: 0.134 0.672 0.807

***

No. 3
Here is crystalline Nd3DyAl4 at its relaxed geometry from Alexandria. Energies are from GGA-PBE.

- N(E_F): 3.57 states/eV/cell
- Energy relative to the elements: -0.36 eV per atom

a = 3.695 Å, b = 3.695 Å, c = 14.808 Å
α = 90.00°, β = 90.00°, γ = 90.00°
Atoms (fractional coordinates):
Nd: 0.500 0.500 0.755
Al: 0.000 0.000 0.115
Al: 0.000 0.000 0.373
Dy: 0.500 0.500 0.000
Nd: 0.500 0.500 0.500
Al: 0.000 0.000 0.627
Nd: 0.500 0.500 0.245
Al: 0.000 0.000 0.885

***

No. 4
Here is crystalline CsGeTe2I at its relaxed geometry from Alexandria. Energies are from GGA-PBE.

- Energy relative to the elements, uncorrected: -1.794 eV/f.u.
- N(E_F): 5.60 states/eV/cell
- Excess energy over the best structure of this formula in the dataset: 0.000 eV per atom

a = 5.555 Å, b = 5.555 Å, c = 6.348 Å
α = 90.00°, β = 90.00°, γ = 90.00°
Atoms (fractional coordinates):
Te: 0.500 0.000 0.000
Cs: 0.500 0.500 0.500
I: 0.000 0.000 0.500
Te: 0.000 0.500 0.000
Ge: 0.000 0.000 0.000

***

No. 5
Here is crystalline Pr5Cd2Ir2 at its relaxed geometry from Alexandria. Energies are from GGA-PBE.

- N(E_F): 12.02 states/eV/cell
- Energy relative to the elements: -0.44 eV per atom

a = 8.059 Å, b = 7.775 Å, c = 9.150 Å
α = 115.14°, β = 90.00°, γ = 90.00°
Atoms (fractional coordinates):
Pr: 0.675 0.290 0.236
Pr: 0.000 0.000 0.000
Ir: 0.872 0.372 0.000
Pr: 0.325 0.710 0.764
Pr: 0.175 0.210 0.764
Pr: 0.325 0.946 0.236
Cd: 0.000 0.784 0.567
Ir: 0.628 0.872 0.000
Pr: 0.175 0.446 0.236
Pr: 0.675 0.054 0.764
Ir: 0.372 0.128 0.000
Ir: 0.128 0.628 0.000
Cd: 0.000 0.216 0.433
Cd: 0.500 0.284 0.567
Pr: 0.500 0.500 0.000
Pr: 0.825 0.790 0.236
Cd: 0.500 0.716 0.433
Pr: 0.825 0.554 0.764

***

No. 6
Here is crystalline ThScNi2H6 at its relaxed geometry from Alexandria. Energies are from GGA-PBE.

- Electronic total energy: -4.995 eV per atom
- N(E_F): 4.69 states/eV/cell

a = 4.469 Å, b = 4.469 Å, c = 5.965 Å
α = 68.00°, β = 68.00°, γ = 60.00°
Atoms (fractional coordinates):
Th: 0.000 0.000 0.000
Ni: 0.212 0.212 0.363
Ni: 0.788 0.788 0.637
Sc: 0.500 0.500 0.500
H: 0.076 0.559 0.807
H: 0.441 0.924 0.193
H: 0.559 0.076 0.807
H: 0.441 0.441 0.193
H: 0.924 0.441 0.193
H: 0.559 0.559 0.807

***

> Which of these has the highest N(E_F)?

Pr5Cd2Ir2

***

> Among the records above, which one has the lowest N(E_F)?

KSi2Se4